Below is a relaxed structure of K2NbHgSe4, with properties calculated at the GGA-PBE level.

The structure belongs to space group Fddd (No. 70, origin choice 2); the cell edges are 6.933, 13.523 and 24.076 Å and the angles 90.00°, 90.00° and 90.00°. Symmetry generates all atoms from K at (0.125, 0.125, 0.310), Nb at (0.125, 0.125, 0.625), Hg at (0.125, 0.125, 0.125) and Se at (0.087, 0.272, 0.818).

As for the uncorrected formation energy: -582 kJ/mol of formula units.

---

Below is a relaxed structure of LaMnCl3, with properties calculated at the GGA-PBE level.

The structure belongs to space group Pm-3m (No. 221); the cell edges are 5.617, 5.617 and 5.617 Å and the angles 90.00°, 90.00° and 90.00°. Symmetry generates all atoms from La at (0.000, 0.000, 0.000), Mn at (0.500, 0.500, 0.500) and Cl at (0.000, 0.000, 0.500).

Its energy above the lowest structure with this stoichiometry is 0.000 eV/atom. As for the uncorrected formation energy: -528 kJ/mol of formula units.

---

Below is a relaxed structure of AgRu2Br, with properties calculated at the GGA-PBE level.

The structure belongs to space group R-3m (No. 166, hexagonal axes); the cell edges are 2.9436, 2.9436 and 25.8968 Å and the angles 90.00°, 90.00° and 120.00°. Symmetry generates all atoms from Ag at (0.0000, 0.0000, 0.0000), Ru at (0.0000, 0.0000, 0.2449) and Br at (0.0000, 0.0000, 0.5000).

Its energy above the lowest structure with this stoichiometry is 0.401 eV/atom. As for the uncorrected formation energy: 315 kJ/mol of formula units.

---

Below is a relaxed structure of ScBeAlP2, with properties calculated at the GGA-PBE level.

The structure belongs to space group P4/mmm (No. 123); the cell edges are 4.457, 4.457 and 4.186 Å and the angles 90.00°, 90.00° and 90.00°. Symmetry generates all atoms from Sc at (0.000, 0.000, 0.000), Be at (0.500, 0.500, 0.500), Al at (0.500, 0.500, 0.000) and P at (0.000, 0.500, 0.500).

As for the total energy: -4.7457 eV/atom.

---

Below is a relaxed structure of LiHo6P2S3, with properties calculated at the GGA-PBE level.

The structure belongs to space group C2/m (No. 12); the cell edges are 17.279, 3.948 and 7.954 Å and the angles 90.00°, 104.39° and 90.00°. Symmetry generates all atoms from Li at (0.000, 0.000, 0.000), Ho at (0.001, 0.500, 0.731), Ho at (0.170, 0.000, 0.577), Ho at (0.173, 0.000, 0.090), P at (0.164, 0.500, 0.329), S at (0.000, 0.000, 0.500) and S at (0.167, 0.500, 0.831).

As for the uncorrected formation energy: -1708 kJ/mol of formula units.

---

Below is a relaxed structure of Er2MnSi4Ni3, with properties calculated at the GGA-PBE level.

The structure belongs to space group P-4m2 (No. 115); the cell edges are 3.903, 3.903 and 9.743 Å and the angles 90.00°, 90.00° and 90.00°. Symmetry generates all atoms from Er at (0.000, 0.500, 0.245), Mn at (0.000, 0.000, 0.500), Si at (0.000, 0.000, 0.000), Si at (0.000, 0.500, 0.636), Si at (0.500, 0.500, 0.000), Ni at (0.000, 0.500, 0.873) and Ni at (0.500, 0.500, 0.500).

As for the uncorrected formation energy: -749 kJ/mol of formula units.

---

Below is a relaxed structure of PuGa2Ag2, with properties calculated at the GGA-PBE level.

The structure belongs to space group P2_1/m (No. 11); the cell edges are 4.427, 4.027 and 11.621 Å and the angles 90.00°, 90.12° and 90.00°. Symmetry generates all atoms from Pu at (0.249, 0.250, 0.253), Ga at (0.248, 0.750, 0.012), Ga at (0.251, 0.250, 0.641), Ag at (0.250, 0.750, 0.491) and Ag at (0.252, 0.250, 0.861).

Its energy above the lowest structure with this stoichiometry is 0.040 eV/atom.

---

Below is a relaxed structure of Nd4Y8Sc, with properties calculated at the GGA-PBE level.

The structure belongs to space group R-3m (No. 166, hexagonal axes); the cell edges are 11.0269, 11.0269 and 13.4879 Å and the angles 90.00°, 90.00° and 120.00°. Symmetry generates all atoms from Nd at (0.0000, 0.0000, 0.0000), Nd at (0.0000, 0.5000, 0.0000), Y at (0.0000, 0.0000, 0.2426), Y at (0.0094, 0.5047, 0.7475) and Sc at (0.0000, 0.0000, 0.5000).

As for the total energy: -5.4054 eV/atom.

---

Below is a relaxed structure of LaCdTePH, with properties calculated at the GGA-PBE level.

The structure belongs to space group Cm (No. 8); the cell edges are 12.056, 4.288 and 4.331 Å and the angles 90.00°, 95.23° and 90.00°. Symmetry generates all atoms from La at (0.000, 0.000, 0.000), Cd at (0.237, 0.000, 0.562), Te at (0.213, 0.500, 0.040), P at (0.467, 0.000, 0.498) and H at (0.389, 0.000, 0.217).

Its energy above the lowest structure with this stoichiometry is 0.052 eV/atom.

---

Below is a relaxed structure of Ba2GaGeN, with properties calculated at the GGA-PBE level.

The structure belongs to space group P2_1/m (No. 11); the cell edges are 7.326, 4.252 and 9.427 Å and the angles 90.00°, 108.91° and 90.00°. Symmetry generates all atoms from Ba at (0.192, 0.250, 0.383), Ba at (0.205, 0.250, 0.962), Ga at (0.459, 0.750, 0.245), Ge at (0.340, 0.750, 0.702) and N at (0.184, 0.750, 0.172).

As for the uncorrected formation energy: -284 kJ/mol of formula units.

---

Below is a relaxed structure of SmPdPt2, with properties calculated at the GGA-PBE level.

The structure belongs to space group Pmma (No. 51); the cell edges are 5.552, 8.675 and 8.084 Å and the angles 90.00°, 90.00° and 90.00°. Symmetry generates all atoms from Sm at (0.250, 0.000, 0.178), Sm at (0.250, 0.500, 0.309), Pd at (0.250, 0.000, 0.808), Pd at (0.250, 0.500, 0.725), Pt at (0.000, 0.000, 0.500), Pt at (0.000, 0.500, 0.000) and Pt at (0.250, 0.259, 0.533).

As for the total energy: -5.7726 eV/atom.

---

Below is a relaxed structure of BaIn2Tc, with properties calculated at the GGA-PBE level.

The structure belongs to space group Cmmm (No. 65); the cell edges are 6.315, 10.112 and 3.305 Å and the angles 90.00°, 90.00° and 90.00°. Symmetry generates all atoms from Ba at (0.000, 0.000, 0.000), In at (0.250, 0.250, 0.500) and Tc at (0.000, 0.500, 0.000).

Its energy above the lowest structure with this stoichiometry is 0.471 eV/atom.

---

Below is a relaxed structure of KNa2Bi, with properties calculated at the GGA-PBE level.

The structure belongs to space group P4/mmm (No. 123); the cell edges are 5.325, 5.325 and 4.856 Å and the angles 90.00°, 90.00° and 90.00°. Symmetry generates all atoms from K at (0.000, 0.000, 0.000), Na at (0.000, 0.500, 0.500) and Bi at (0.500, 0.500, 0.000).

As for the total energy: -2.1072 eV/atom.

---

Ordered total magnetization results: 0.00; 5.00; 0.00; 0.00; 0.00; 1.56; 5.73; 1.53; 0.00; 0.00; 0.00; 2.30; 0.00; unit μB per formula unit.